[1]
6
Lattice="0.000 3.513 3.513 3.513 0.000 3.513 3.513 3.513 0.000" Properties=species:S:1:pos:R:3 comment="SmNi4Au GGA-PBE relaxed" magmom_total_mub_per_cell=0.29 final_energy_ev_per_atom=-5.3824 e_form_ev_per_atom=-0.34 sg="F-43m, No. 216" pbc="T T T"
Sm 0.000 0.000 0.000
Ni 4.385 2.641 2.641
Ni 2.641 4.385 2.641
Ni 2.641 2.641 4.385
Ni 4.385 4.385 4.385
Au 1.756 1.756 1.756


[2]
4
Lattice="4.555 0.000 0.000 0.000 1.935 5.342 0.000 -1.935 5.342" Properties=species:S:1:pos:R:3 comment="Sm2NiAu GGA-PBE relaxed" magmom_total_mub_per_cell=0.00 final_energy_ev_per_atom=-5.1478 e_form_ev_per_atom=-0.58 sg="Amm2, No. 38" pbc="T T T"
Sm 0.000 0.000 0.000
Sm 2.278 0.000 2.988
Ni 0.000 0.000 7.725
Au 2.278 0.000 6.038